Density functional theory data (PBE) for a relaxed Tm5Pd2Pb crystal.

Structure (extended XYZ):
```
16
Lattice="7.008 0.000 -3.308 -1.562 6.832 -3.308 -0.193 -0.242 8.669" Properties=species:S:1:pos:R:3 pbc="T T T"
Tm 0.000 0.000 0.000
Pb 1.265 1.587 2.680
Pd 0.385 2.486 -1.654
Tm 4.474 1.216 3.232
Pd 1.201 5.902 -4.062
Tm 2.879 1.958 -0.148
Pd 5.061 4.346 -4.962
Tm 2.723 3.416 -3.308
Pb 3.988 5.003 -0.628
Tm 3.990 6.658 -3.456
Tm 0.780 5.374 -1.180
Tm -0.835 3.348 4.476
Pd 4.245 0.930 -2.554
Tm 1.263 -0.068 5.508
Tm 2.375 4.632 2.200
Tm 6.089 3.242 -2.424
```

Calculated values
Size of the total moment, μB per formula unit: 0.000
Space group: I4/mcm (140)
Formation enthalpy at 0 K, eV/f.u.: -5.17
Uncorrected energy, eV/atom: -5.202
Crystal system: tetragonal
Density, Mg/m³: 10.4